A plane-wave DFT calculation with GGA-PBE was carried out for crystalline ErTi2Ni3 at its relaxed geometry.

POSCAR file:
```
ErTi2Ni3
1.0
5.475 0.000 0.000
0.000 5.795 -1.853
0.000 0.164 6.082
Ni Ti Er
6 4 2
direct
0.750 0.452 0.168 Ni
0.750 0.168 0.452 Ni
0.250 0.953 0.953 Ni
0.250 0.548 0.832 Ni
0.250 0.832 0.548 Ni
0.750 0.047 0.047 Ni
0.500 0.210 0.790 Ti
0.500 0.790 0.210 Ti
0.000 0.790 0.210 Ti
0.000 0.210 0.790 Ti
0.750 0.668 0.668 Er
0.250 0.332 0.332 Er
```

## Properties
spin magnetization	0.00	Bohr magnetons per cell
density of states at the Fermi level	11.15	states/eV/cell
space group	Cmcm, No. 63
ρ	7.49	g/cm³
formation energy from the elements	-289.4	meV per atom

***

A plane-wave DFT calculation with GGA-PBE was carried out for crystalline ErTiNi2 at its relaxed geometry.

POSCAR file:
```
ErTiNi2
1.0
-1.984 3.769 -1.448
-4.180 -0.152 -1.656
-3.409 1.786 2.330
Ti Er Ni
1 1 2
direct
0.500 0.500 0.500 Ti
0.000 0.000 0.000 Er
0.250 0.250 0.250 Ni
0.750 0.750 0.750 Ni
```

## Properties
spin magnetization	0.00	Bohr magnetons per cell
density of states at the Fermi level	3.07	states/eV/cell
space group	Fm-3m, No. 225
ρ	8.58	g/cm³
E above lowest polymorph	104	meV/atom
formation energy from the elements	-282.0	meV per atom

***

A plane-wave DFT calculation with GGA-PBE was carried out for crystalline ErTiNi2 at its relaxed geometry.

POSCAR file:
```
ErTiNi2
1.0
3.179 0.000 0.000
0.000 4.492 0.000
0.000 0.000 4.492
Er Ni Ti
1 2 1
direct
0.500 0.000 0.000 Er
0.000 0.000 0.500 Ni
0.000 0.500 0.000 Ni
0.500 0.500 0.500 Ti
```

## Properties
spin magnetization	0.00	Bohr magnetons per cell
density of states at the Fermi level	4.32	states/eV/cell
space group	P4/mmm, No. 123
ρ	8.61	g/cm³
E above lowest polymorph	106	meV/atom
formation energy from the elements	-280.4	meV per atom

***

A plane-wave DFT calculation with GGA-PBE was carried out for crystalline ErTiNi2 at its relaxed geometry.

POSCAR file:
```
ErTiNi2
1.0
3.119 0.000 0.000
0.000 3.119 0.000
0.000 0.000 6.611
Ti Ni Er
1 2 1
direct
0.500 0.500 0.000 Ti
0.000 0.000 0.800 Ni
0.000 0.000 0.200 Ni
0.500 0.500 0.500 Er
```

## Properties
spin magnetization	0.00	Bohr magnetons per cell
density of states at the Fermi level	4.07	states/eV/cell
space group	P4/mmm, No. 123
ρ	8.59	g/cm³
E above lowest polymorph	8	meV/atom
formation energy from the elements	-378.2	meV per atom